Below is crystalline Ce2Cd3In at its relaxed geometry, with properties calculated at the GGA-PBE level.

Cell lengths 3.341, 5.130, 8.880 Å; angles 90.00, 90.00, 90.00 degrees
Atoms (fractional coordinates):
1 Cd 0.500 0.000 0.832
2 In 0.500 0.500 0.334
3 Ce 0.000 0.000 0.500
4 Cd 0.500 0.500 0.670
5 Ce 0.000 0.500 0.000
6 Cd 0.500 0.000 0.163

Values from the calculation:
Crystal system: orthorhombic
DOS(E_F) (states/eV/atom): 2.18
Formation energy from the elements (eV per atom): -0.287
Relative energy among the computed polymorphs (meV/atom): 2.8

***

Below is crystalline CeCd4In2 at its relaxed geometry, with properties calculated at the GGA-PBE level.

Cell lengths 4.533, 4.576, 8.747 Å; angles 105.16, 90.00, 90.00 degrees
Atoms (fractional coordinates):
1 Cd 0.000 0.310 0.621
2 Cd 0.000 0.690 0.379
3 Cd 0.500 0.815 0.630
4 Cd 0.500 0.185 0.370
5 Ce 0.000 0.000 0.000
6 In 0.500 0.419 0.837
7 In 0.500 0.581 0.163

Values from the calculation:
Crystal system: orthorhombic
DOS(E_F) (states/eV/atom): 1.30
Formation energy from the elements (eV per atom): -0.122
Relative energy among the computed polymorphs (meV/atom): 40.5

***

Below is crystalline CeCdIn2 at its relaxed geometry, with properties calculated at the GGA-PBE level.

Cell lengths 4.627, 4.725, 4.725 Å; angles 90.00, 90.00, 90.00 degrees
Atoms (fractional coordinates):
1 In 0.000 0.500 0.000
2 Ce 0.500 0.500 0.500
3 Cd 0.500 0.000 0.000
4 In 0.000 0.000 0.500

Values from the calculation:
Crystal system: tetragonal
DOS(E_F) (states/eV/atom): 1.86
Formation energy from the elements (eV per atom): -0.328

***

Below is crystalline Ce9CdIn2 at its relaxed geometry, with properties calculated at the GGA-PBE level.

Cell lengths 4.804, 4.804, 14.378 Å; angles 90.00, 90.00, 90.00 degrees
Atoms (fractional coordinates):
1 Ce 0.500 0.500 0.669
2 Ce 0.000 0.500 0.833
3 In 0.000 0.000 0.333
4 Ce 0.500 0.000 0.500
5 Ce 0.000 0.500 0.500
6 Ce 0.500 0.500 0.331
7 Ce 0.000 0.500 0.167
8 Cd 0.000 0.000 0.000
9 Ce 0.500 0.000 0.167
10 Ce 0.500 0.000 0.833
11 Ce 0.500 0.500 0.000
12 In 0.000 0.000 0.667

Values from the calculation:
Crystal system: tetragonal
DOS(E_F) (states/eV/atom): 3.25
Formation energy from the elements (eV per atom): -0.131